(1)
Material: Li7Mn4CoO12
Method: DFT, PBE+U
State: relaxed

Unit cell a=6.4846 b=6.4846 c=5.2100 alpha=95.47 beta=95.47 gamma=82.91
Fractional coordinates of all 24 atoms:
Li 0.0000 0.0000 0.0000
Li 0.0917 0.4189 0.2655
Li 0.2383 0.2383 0.7427
Li 0.4189 0.0917 0.2655
Li 0.5811 0.9083 0.7345
Li 0.7617 0.7617 0.2573
Li 0.9083 0.5811 0.7345
Mn 0.1674 0.8326 0.5000
Mn 0.3295 0.6705 0.0000
Mn 0.6705 0.3295 0.0000
Mn 0.8326 0.1674 0.5000
Co 0.5000 0.5000 0.5000
O 0.0654 0.7170 0.1553
O 0.1148 0.1148 0.3933
O 0.2173 0.5508 0.6098
O 0.2830 0.9346 0.8447
O 0.3946 0.3946 0.1480
O 0.4492 0.7827 0.3902
O 0.5508 0.2173 0.6098
O 0.6054 0.6054 0.8520
O 0.7170 0.0654 0.1553
O 0.7827 0.4492 0.3902
O 0.8852 0.8852 0.6067
O 0.9346 0.2830 0.8447

Computed properties:
**Symmetry**: C2/m, No. 12
**Energy above the most stable polymorph in this dataset**: 0.0104 eV per atom
**Size of the total moment**: 0.583 μB per atom

=====

(2)
Material: Li4MnCo2O7
Method: DFT, PBE+U
State: relaxed

Unit cell a=2.9123 b=7.7288 c=11.3965 alpha=80.59 beta=82.93 gamma=79.96
Fractional coordinates of all 28 atoms:
Li 0.0000 0.0000 0.0000
Li 0.0515 0.2265 0.6534
Li 0.2102 0.6427 0.9277
Li 0.3842 0.0665 0.1935
Li 0.5000 0.5000 0.5000
Li 0.6158 0.9335 0.8065
Li 0.7898 0.3573 0.0723
Li 0.9485 0.7735 0.3466
Mn 0.2958 0.8529 0.5741
Mn 0.7042 0.1471 0.4259
Co 0.1294 0.4315 0.2873
Co 0.4298 0.2724 0.8696
Co 0.5702 0.7276 0.1304
Co 0.8706 0.5685 0.7127
O 0.0204 0.1209 0.8213
O 0.0938 0.3131 0.4562
O 0.1562 0.5396 0.1267
O 0.2808 0.7358 0.7371
O 0.3188 0.9718 0.4044
O 0.3905 0.1944 0.0272
O 0.4567 0.4142 0.6825
O 0.5433 0.5858 0.3175
O 0.6095 0.8056 0.9728
O 0.6812 0.0282 0.5956
O 0.7192 0.2642 0.2629
O 0.8438 0.4604 0.8733
O 0.9062 0.6869 0.5438
O 0.9796 0.8791 0.1787

Computed properties:
**Symmetry**: P-1, No. 2
**Energy above the most stable polymorph in this dataset**: 0.0781 eV per atom
**Size of the total moment**: 0.500 μB per atom

=====

(3)
Material: Li4MnCo2O7
Method: DFT, PBE+U
State: relaxed

Unit cell a=4.9867 b=6.5166 c=7.7260 alpha=86.24 beta=77.88 gamma=83.07
Fractional coordinates of all 28 atoms:
Li 0.0000 0.0000 0.0000
Li 0.0618 0.8645 0.3384
Li 0.1430 0.7179 0.6974
Li 0.2608 0.4529 0.4034
Li 0.4080 0.1531 0.1324
Li 0.5623 0.8672 0.8488
Li 0.7111 0.5896 0.5513
Li 0.8449 0.2976 0.2646
Mn 0.4913 0.0101 0.4827
Mn 0.9211 0.1542 0.6282
Co 0.2028 0.5792 0.0552
Co 0.3495 0.2975 0.7721
Co 0.6266 0.7277 0.2043
Co 0.7765 0.4490 0.9218
O 0.0358 0.4187 0.6709
O 0.1125 0.3054 0.0039
O 0.1709 0.1488 0.4020
O 0.2390 0.0308 0.7218
O 0.3243 0.8418 0.0928
O 0.3968 0.7446 0.4543
O 0.4422 0.5620 0.8213
O 0.5070 0.4479 0.1541
O 0.6023 0.2810 0.5378
O 0.6731 0.1720 0.8608
O 0.7125 0.0145 0.2526
O 0.7952 0.8945 0.5933
O 0.8953 0.7113 0.9502
O 0.9452 0.5865 0.2832

Computed properties:
**Symmetry**: P1, No. 1
**Energy above the most stable polymorph in this dataset**: 0.0314 eV per atom
**Size of the total moment**: 0.285 μB per atom

=====

(4)
Material: Li4MnCo2O7
Method: DFT, PBE+U
State: relaxed

Unit cell a=16.6849 b=16.6849 c=5.0776 alpha=92.50 beta=92.50 gamma=9.94
Fractional coordinates of all 28 atoms:
Li 0.0000 0.0000 0.0000
Li 0.0697 0.0697 0.3531
Li 0.2148 0.2148 0.0714
Li 0.3559 0.3559 0.7788
Li 0.5000 0.5000 0.5000
Li 0.6441 0.6441 0.2212
Li 0.7852 0.7852 0.9286
Li 0.9303 0.9303 0.6469
Mn 0.4301 0.4301 0.1287
Mn 0.5699 0.5699 0.8713
Co 0.1443 0.1443 0.7117
Co 0.2848 0.2848 0.4310
Co 0.7152 0.7152 0.5690
Co 0.8557 0.8557 0.2883
O 0.0404 0.0404 0.6986
O 0.1053 0.1053 0.0187
O 0.1826 0.1826 0.4113
O 0.2482 0.2482 0.7162
O 0.3201 0.3201 0.1316
O 0.3905 0.3905 0.4335
O 0.4607 0.4607 0.8408
O 0.5393 0.5393 0.1592
O 0.6095 0.6095 0.5665
O 0.6799 0.6799 0.8684
O 0.7518 0.7518 0.2838
O 0.8174 0.8174 0.5887
O 0.8947 0.8947 0.9813
O 0.9596 0.9596 0.3014

Computed properties:
**Symmetry**: C2/m, No. 12
**Energy above the most stable polymorph in this dataset**: 0.0499 eV per atom
**Size of the total moment**: 0.500 μB per atom

=====

(5)
Material: Li4MnCo2O7
Method: DFT, PBE+U
State: relaxed

Unit cell a=10.7161 b=10.7161 c=8.1161 alpha=101.73 beta=101.73 gamma=15.56
Fractional coordinates of all 28 atoms:
Li 0.0000 0.0000 0.0000
Li 0.0118 0.0118 0.5140
Li 0.1464 0.1464 0.5826
Li 0.3071 0.3071 0.1505
Li 0.4459 0.4459 0.7137
Li 0.5729 0.5729 0.3139
Li 0.7288 0.7288 0.8590
Li 0.8743 0.8743 0.4422
Mn 0.1517 0.1517 0.0781
Mn 0.7269 0.7269 0.3711
Co 0.2987 0.2987 0.6508
Co 0.4419 0.4419 0.2402
Co 0.5818 0.5818 0.7913
Co 0.8677 0.8677 0.9316
O 0.0058 0.0058 0.2463
O 0.0215 0.0215 0.7704
O 0.1495 0.1495 0.8426
O 0.1583 0.1583 0.3231
O 0.2928 0.2928 0.4042
O 0.3027 0.3027 0.8891
O 0.4290 0.4290 0.9641
O 0.4377 0.4377 0.4602
O 0.5839 0.5839 0.5646
O 0.5908 0.5908 0.0429
O 0.7178 0.7178 0.1221
O 0.7340 0.7340 0.6085
O 0.8594 0.8594 0.6898
O 0.8721 0.8721 0.1698

Computed properties:
**Symmetry**: Cm, No. 8
**Energy above the most stable polymorph in this dataset**: 0.0749 eV per atom
**Size of the total moment**: 0.370 μB per atom

=====

(6)
Material: Li5MnCo2O8
Method: DFT, PBE+U
State: relaxed

Unit cell a=19.8165 b=19.8165 c=19.8165 alpha=8.26 beta=8.26 gamma=8.26
Fractional coordinates of all 16 atoms:
Li 0.0000 0.0000 0.0000
Li 0.1237 0.1237 0.1237
Li 0.3765 0.3765 0.3765
Li 0.6271 0.6271 0.6271
Li 0.8700 0.8700 0.8700
Mn 0.2458 0.2458 0.2458
Co 0.4982 0.4982 0.4982
Co 0.7518 0.7518 0.7518
O 0.0684 0.0684 0.0684
O 0.1825 0.1825 0.1825
O 0.3106 0.3106 0.3106
O 0.4362 0.4362 0.4362
O 0.5609 0.5609 0.5609
O 0.6895 0.6895 0.6895
O 0.8145 0.8145 0.8145
O 0.9296 0.9296 0.9296

Computed properties:
**Symmetry**: R3m, No. 160
**Energy above the most stable polymorph in this dataset**: 0.1826 eV per atom
**Size of the total moment**: 0.041 μB per atom

=====

(7)
Material: Li4MnCo2O7
Method: DFT, PBE+U
State: relaxed

Unit cell a=5.1197 b=7.7003 c=7.7059 alpha=60.43 beta=70.99 gamma=83.64
Fractional coordinates of all 28 atoms:
Li 0.0000 0.0000 0.0000
Li 0.9997 0.2928 0.5646
Li 0.0040 0.1518 0.2818
Li 0.0045 0.5886 0.1413
Li 0.0091 0.7296 0.4171
Li 0.5003 0.7955 0.0638
Li 0.9941 0.4401 0.8512
Li 0.9973 0.8573 0.7165
Mn 0.4916 0.2184 0.9272
Mn 0.5069 0.0766 0.6379
Co 0.4914 0.5162 0.4820
Co 0.4941 0.6530 0.7797
Co 0.5068 0.9305 0.3440
Co 0.5102 0.3782 0.1987
O 0.2590 0.5352 0.3314
O 0.2660 0.3909 0.0271
O 0.2670 0.6895 0.6024
O 0.2706 0.9897 0.1628
O 0.2757 0.2446 0.7466
O 0.2805 0.8366 0.8624
O 0.2951 0.1186 0.4525
O 0.7012 0.4696 0.6889
O 0.7227 0.0599 0.8097
O 0.7243 0.6023 0.9663
O 0.7250 0.1876 0.0894
O 0.7308 0.3197 0.4017
O 0.7356 0.9100 0.5397
O 0.7432 0.7611 0.2586

Computed properties:
**Symmetry**: P1, No. 1
**Energy above the most stable polymorph in this dataset**: 0.0437 eV per atom
**Size of the total moment**: 0.286 μB per atom

=====

(8)
Material: Li4MnCo2O7
Method: DFT, PBE+U
State: relaxed

Unit cell a=4.9896 b=6.4767 c=8.0047 alpha=85.31 beta=82.34 gamma=83.36
Fractional coordinates of all 28 atoms:
Li 0.0000 0.0000 0.0000
Li 0.0854 0.8635 0.3526
Li 0.2154 0.5770 0.0709
Li 0.3419 0.2814 0.7910
Li 0.5000 0.0000 0.5000
Li 0.6581 0.7186 0.2090
Li 0.7846 0.4230 0.9291
Li 0.9146 0.1365 0.6474
Mn 0.2867 0.4276 0.4256
Mn 0.7133 0.5724 0.5744
Co 0.1370 0.7155 0.7201
Co 0.4335 0.1401 0.1310
Co 0.5665 0.8599 0.8690
Co 0.8630 0.2845 0.2799
O 0.0229 0.4461 0.6844
O 0.1407 0.2737 0.0468
O 0.1641 0.1592 0.3910
O 0.2733 0.9714 0.7547
O 0.3389 0.8752 0.1049
O 0.4009 0.6976 0.4659
O 0.4395 0.5969 0.8262
O 0.5605 0.4031 0.1738
O 0.5991 0.3024 0.5341
O 0.6611 0.1248 0.8951
O 0.7267 0.0286 0.2453
O 0.8359 0.8408 0.6090
O 0.8593 0.7263 0.9532
O 0.9771 0.5539 0.3156

Computed properties:
**Symmetry**: P-1, No. 2
**Energy above the most stable polymorph in this dataset**: 0.0942 eV per atom
**Size of the total moment**: 0.644 μB per atom

=====

Which of these has the lowest size of the total moment? Li5MnCo2O8